1.
Below is a relaxed structure of Ce2SnAu, with properties calculated at the GGA-PBE level.

Cell lengths 7.5913, 7.5913, 7.5913 Å; angles 90.00, 90.00, 90.00 degrees
Closest atoms and distances in Å follow each position.
Space group Fm-3m (No. 225)
Inequivalent atoms, fractional coordinates:
Ce 0.2500 0.2500 0.2500 x8  4 Sn 3.29, 4 Au 3.29
Sn 0.0000 0.0000 0.0000 x4  8 Ce 3.29
Au 0.0000 0.0000 0.5000 x4  8 Ce 3.29

* D(E_F): 15.6 states/eV/f.u.
* calculated formation energy: -0.550 eV per atom
* total DFT energy (no corrections): -85.4 eV per cell
* M_tot: 11.82 μB/cell

***

2.
Below is a relaxed structure of Ce2SnAu4, with properties calculated at the GGA-PBE level.

Cell lengths 4.6865, 4.6865, 28.1087 Å; angles 90.00, 90.00, 120.00 degrees
Closest atoms and distances in Å follow each position.
Space group R-3m (No. 166, hexagonal axes)
Inequivalent atoms, fractional coordinates:
Ce 0.0000 0.0000 0.2481 x6  7 Au 3.02-3.10
Sn 0.0000 0.0000 0.0000 x3  6 Au 2.90
Au 0.0000 0.0000 0.1392 x6  4 Ce 3.06-3.10, 3 Au 3.12
Au 0.0000 0.0000 0.3709 x6  3 Sn 2.90, 3 Ce 3.02

* D(E_F): 12.8 states/eV/f.u.
* calculated formation energy: -0.523 eV per atom
* total DFT energy (no corrections): -97.9 eV per cell
* M_tot: 4.94 μB/cell

***

3.
Below is a relaxed structure of Ce2SnAu3, with properties calculated at the GGA-PBE level.

Cell lengths 3.8125, 4.5440, 17.8901 Å; angles 90.00, 90.00, 90.00 degrees
Closest atoms and distances in Å follow each position.
Space group Imm2 (No. 44)
Inequivalent atoms, fractional coordinates:
Ce 0.0000 0.0000 0.0000 x2  6 Au 3.19-3.31, 4 Sn 3.38
Ce 0.0000 0.5000 0.2227 x2  10 Au 3.23-3.40
Sn 0.0000 0.0000 0.4089 x2  3 Au 2.69-2.80
Au 0.0000 0.0000 0.5655 x2  2 Au 2.74, 1 Sn 2.80
Au 0.0000 0.5000 0.6510 x2  3 Au 2.71-2.74
Au 0.0000 0.5000 0.8027 x2  2 Sn 2.69, 1 Au 2.71

* D(E_F): 14.3 states/eV/f.u.
* calculated formation energy: -0.568 eV per atom
* total DFT energy (no corrections): -58.2 eV per cell
* M_tot: 4.06 μB/cell

***

4.
Below is a relaxed structure of Ce2SnAu, with properties calculated at the GGA-PBE level.

Cell lengths 6.3026, 4.4547, 8.6588 Å; angles 90.00, 111.27, 90.00 degrees
Closest atoms and distances in Å follow each position.
Space group P2_1/m (No. 11)
Inequivalent atoms, fractional coordinates:
Ce 0.1897 0.2500 0.4127 x2  3 Au 3.12-3.43, 4 Sn 3.23-3.36
Ce 0.2699 0.7500 0.0611 x2  3 Au 3.10-3.24, 3 Sn 3.27-3.39
Sn 0.3796 0.7500 0.7058 x2  2 Au 2.96, 5 Ce 3.23-3.27
Au 0.1362 0.2500 0.7934 x2  2 Sn 2.96, 5 Ce 3.10-3.24

* D(E_F): 11.9 states/eV/f.u.
* calculated formation energy: -0.592 eV per atom
* total DFT energy (no corrections): -43.0 eV per cell
* M_tot: 5.20 μB/cell

***

5.
Below is a relaxed structure of Ce2Sn2Au15, with properties calculated at the GGA-PBE level.

Cell lengths 9.7716, 9.7716, 14.4015 Å; angles 90.00, 90.00, 120.00 degrees
Closest atoms and distances in Å follow each position.
Space group R-3m (No. 166, hexagonal axes)
Inequivalent atoms, fractional coordinates:
Ce 0.0000 0.0000 0.1523 x6  12 Au 3.35-3.62, 1 Sn 3.56
Sn 0.0000 0.0000 0.3995 x6  1 Sn 2.90, 6 Au 2.98-3.14
Au 0.0000 0.3166 0.5000 x18  8 Au 2.84-3.09
Au 0.0000 0.5000 0.0000 x9  8 Au 2.86-2.88, 2 Sn 2.98
Au 0.0125 0.5062 0.6531 x18  8 Au 2.74-3.03

* D(E_F): 21.6 states/eV/f.u.
* calculated formation energy: -0.248 eV per atom
* total DFT energy (no corrections): -221.2 eV per cell
* M_tot: 6.37 μB/cell

***

6.
Below is a relaxed structure of CeSn2Au, with properties calculated at the GGA-PBE level.

Cell lengths 4.5667, 4.5667, 9.5840 Å; angles 90.00, 90.00, 90.00 degrees
Closest atoms and distances in Å follow each position.
Space group P4/nmm (No. 129, origin choice 2)
Inequivalent atoms, fractional coordinates:
Ce 0.2500 0.2500 0.2370 x2  4 Au 3.22, 8 Sn 3.25-3.40
Sn 0.2500 0.2500 0.8053 x2  4 Au 2.95, 4 Ce 3.25
Sn 0.2500 0.7500 0.5000 x2  4 Sn 3.23, 4 Ce 3.40
Au 0.2500 0.7500 0.0000 x2  4 Sn 2.95, 4 Ce 3.22, 4 Au 3.23

* D(E_F): 5.3 states/eV/f.u.
* calculated formation energy: -0.553 eV per atom
* total DFT energy (no corrections): -38.9 eV per cell
* M_tot: 1.55 μB/cell

***

7.
Below is a relaxed structure of CeSnAu11, with properties calculated at the GGA-PBE level.

Cell lengths 5.6132, 13.1753, 7.6357 Å; angles 90.00, 111.16, 90.00 degrees
Closest atoms and distances in Å follow each position.
Space group C2/m (No. 12)
Inequivalent atoms, fractional coordinates:
Ce 0.0000 0.0000 0.0000 x2  16 Au 3.36-3.58
Sn 0.0000 0.5000 0.5000 x2  10 Au 2.81-2.96
Au 0.0000 0.0000 0.5000 x2  2 Sn 2.81, 8 Au 2.88-2.93
Au 0.1012 0.3938 0.2097 x8  8 Au 2.79-3.10, 1 Sn 2.85
Au 0.1646 0.1765 0.3401 x8  7 Au 2.93-3.10, 1 Sn 2.96
Au 0.2500 0.2500 0.0000 x4  10 Au 2.79-2.97

* D(E_F): 11.8 states/eV/f.u.
* calculated formation energy: -0.167 eV per atom
* total DFT energy (no corrections): -96.3 eV per cell
* M_tot: 2.20 μB/cell

***

8.
Below is a relaxed structure of Ce3Sn2Au4, with properties calculated at the GGA-PBE level.

Cell lengths 11.1342, 4.7779, 9.1472 Å; angles 90.00, 116.48, 90.00 degrees
Closest atoms and distances in Å follow each position.
Space group C2/m (No. 12)
Inequivalent atoms, fractional coordinates:
Ce 0.0000 0.0000 0.0000 x2  8 Au 3.24-3.51, 4 Sn 3.39
Ce 0.1544 0.5000 0.6797 x4  8 Au 3.12-3.43, 4 Sn 3.26-3.42
Sn 0.1276 0.5000 0.2922 x4  3 Au 2.79-2.80
Au 0.0817 0.0000 0.4179 x4  2 Sn 2.80, 1 Au 2.83
Au 0.2103 0.5000 0.0454 x4  1 Sn 2.79, 2 Au 2.80, 1 Ce 3.12

* D(E_F): 16.5 states/eV/f.u.
* calculated formation energy: -0.703 eV per atom
* total DFT energy (no corrections): -90.5 eV per cell
* M_tot: 5.18 μB/cell

***

9.
Below is a relaxed structure of CeSnAu, with properties calculated at the GGA-PBE level.

Cell lengths 2.9870, 2.9870, 16.8697 Å; angles 90.00, 90.00, 90.00 degrees
Closest atoms and distances in Å follow each position.
Space group I4mm (No. 107)
Inequivalent atoms, fractional coordinates:
Ce 0.0000 0.0000 0.0000 x2  1 Au 2.94, 4 Ce 2.99
Sn 0.0000 0.0000 0.6557 x2  1 Au 2.87, 4 Sn 2.99
Au 0.0000 0.0000 0.8256 x2  1 Sn 2.87, 1 Ce 2.94, 4 Au 2.99

* D(E_F): 4.6 states/eV/f.u.
* calculated formation energy: -0.001 eV per atom
* total DFT energy (no corrections): -26.4 eV per cell
* M_tot: 0.44 μB/cell

***

10.
Below is a relaxed structure of Ce2SnAu, with properties calculated at the GGA-PBE level.

Cell lengths 3.4163, 3.4163, 8.7668 Å; angles 90.00, 90.00, 90.00 degrees
Closest atoms and distances in Å follow each position.
Space group P4/mmm (No. 123)
Inequivalent atoms, fractional coordinates:
Ce 0.0000 0.0000 0.2356 x2  4 Au 3.18, 4 Sn 3.35, 4 Ce 3.42
Sn 0.5000 0.5000 0.5000 x1  8 Ce 3.35, 4 Sn 3.42
Au 0.5000 0.5000 0.0000 x1  8 Ce 3.18, 4 Au 3.42

* D(E_F): 11.2 states/eV/f.u.
* calculated formation energy: -0.593 eV per atom
* total DFT energy (no corrections): -21.5 eV per cell
* M_tot: 1.52 μB/cell

***

11.
Below is a relaxed structure of Ce5Sn2Au, with properties calculated at the GGA-PBE level.

Cell lengths 11.1201, 6.8557, 6.9655 Å; angles 90.00, 128.10, 90.00 degrees
Closest atoms and distances in Å follow each position.
Space group Cm (No. 8)
Inequivalent atoms, fractional coordinates:
Ce 0.0000 0.0000 0.0000 x2  2 Ce 2.77
Ce 0.1606 0.2625 0.9324 x4  1 Ce 2.77
Ce 0.1955 0.2568 0.4860 x4  5 Ce 3.19-3.52, 2 Au 3.23-3.37, 4 Sn 3.28-3.31
Sn 0.4289 0.0000 0.9925 x2  1 Au 3.05, 8 Ce 3.28-3.31
Sn 0.4295 0.5000 0.4379 x2  10 Ce 3.28-3.59, 2 Au 3.44
Au 0.4042 0.0000 0.4053 x2  1 Sn 3.05, 8 Ce 3.23-3.37

* D(E_F): 19.3 states/eV/f.u.
* calculated formation energy: -0.476 eV per atom
* total DFT energy (no corrections): -89.5 eV per cell
* M_tot: 4.81 μB/cell

***

Look up the M_tot of the ninth one. 0.44 μB/cell

***

Number 5 is which compound? Ce2Sn2Au15

***

What is the D(E_F) in the fifth record? 21.6 states/eV/f.u.

***

Number 10 is which compound? Ce2SnAu